(1)
First-principles (PBE-GGA) data for a relaxed structure of RbCaAuO2, as listed in Alexandria via LeMat-Bulk.

Cell lengths 7.316, 7.316, 5.194 Å; angles 90.00, 90.00, 125.48 degrees
Fractional coordinates of all 10 atoms:
Rb1 0.250 0.750 0.760
Rb2 0.750 0.250 0.240
Ca1 0.250 0.250 0.000
Ca2 0.750 0.750 0.000
Au1 0.000 0.000 0.500
Au2 0.500 0.500 0.500
O1 0.096 0.904 0.186
O2 0.404 0.596 0.186
O3 0.596 0.404 0.814
O4 0.904 0.096 0.814

Output
raw total energy: -4.747 eV/atom
theoretical density: 5.200 g/cm3

(2)
First-principles (PBE-GGA) data for a relaxed structure of Rb2CaAuO4, as listed in Alexandria via LeMat-Bulk.

Cell lengths 13.107, 11.384, 7.870 Å; angles 83.67, 59.68, 36.64 degrees
Fractional coordinates of all 16 atoms:
Rb1 0.061 0.061 0.689
Rb2 0.311 0.311 0.939
Rb3 0.689 0.689 0.061
Rb4 0.939 0.939 0.311
Ca1 0.125 0.125 0.125
Ca2 0.875 0.875 0.875
Au1 0.375 0.375 0.375
Au2 0.625 0.625 0.625
O1 0.049 0.699 0.506
O2 0.246 0.506 0.699
O3 0.301 0.951 0.754
O4 0.494 0.754 0.951
O5 0.506 0.246 0.049
O6 0.699 0.049 0.246
O7 0.754 0.494 0.301
O8 0.951 0.301 0.494

Output
raw total energy: -4.460 eV/atom
theoretical density: 3.159 g/cm3

(3)
First-principles (PBE-GGA) data for a relaxed structure of Ca2ScAuO, as listed in Alexandria via LeMat-Bulk.

Cell lengths 4.908, 4.908, 4.227 Å; angles 90.00, 90.00, 90.00 degrees
Fractional coordinates of all 5 atoms:
Ca1 0.000 0.500 0.000
Ca2 0.500 0.000 0.000
Sc1 0.000 0.000 0.500
Au1 0.500 0.500 0.500
O1 0.000 0.000 0.000

Output
raw total energy: -5.148 eV/atom
theoretical density: 5.514 g/cm3